Below is a relaxed LiZr2P3O12 crystal, with properties calculated at the PBEsol level.

## Properties
* formation energy from raw total energies: -2.746 eV/atom
* total energy: -8.33 eV/atom
* excess energy over the best structure of this formula in the dataset: 4 meV per atom

Lattice parameters (Å, degrees): 8.749 8.804 9.144 118.59 90.72 118.96
Fractional positions:
Li: 0.238 0.190 0.387
Li: 0.762 0.810 0.613
Zr: 0.142 0.783 0.429
Zr: 0.366 0.210 0.065
Zr: 0.634 0.790 0.935
Zr: 0.858 0.217 0.571
P: 0.030 0.273 0.253
P: 0.253 0.282 0.738
P: 0.457 0.991 0.244
P: 0.543 0.009 0.756
P: 0.747 0.718 0.262
P: 0.970 0.727 0.747
O: 0.020 0.233 0.402
O: 0.051 0.479 0.315
O: 0.073 0.274 0.731
O: 0.140 0.905 0.909
O: 0.206 0.285 0.214
O: 0.230 0.105 0.558
O: 0.299 0.262 0.888
O: 0.306 0.841 0.282
O: 0.356 0.878 0.616
O: 0.404 0.138 0.250
O: 0.410 0.488 0.768
O: 0.468 0.866 0.062
O: 0.532 0.134 0.938
O: 0.590 0.512 0.232
O: 0.596 0.862 0.750
O: 0.644 0.122 0.384
O: 0.694 0.159 0.718
O: 0.701 0.738 0.112
O: 0.770 0.895 0.442
O: 0.794 0.715 0.786
O: 0.860 0.095 0.091
O: 0.927 0.726 0.269
O: 0.949 0.521 0.685
O: 0.980 0.767 0.598

---

Below is a relaxed InBi crystal, with properties calculated at the PBEsol level.

## Properties
* calculated formation energy: 0.05 eV per atom
* total energy: -3.58 eV/atom

Lattice parameters (Å, degrees): 4.749 4.749 4.749 60.00 60.00 60.00
Fractional positions:
In: 0.000 0.000 0.000
Bi: 0.750 0.750 0.750

---

Below is a relaxed ReAsPS2 crystal, with properties calculated at the PBEsol level.

## Properties
* formation energy from raw total energies: 1.538 eV/atom
* total energy: -5.06 eV/atom

Lattice parameters (Å, degrees): 4.421 4.421 4.485 90.00 90.00 90.00
Fractional positions:
Re: 0.000 0.000 0.000
As: 0.500 0.500 0.500
P: 0.500 0.500 0.000
S: 0.000 0.500 0.500
S: 0.500 0.000 0.500

---

Below is a relaxed NiPtN2 crystal, with properties calculated at the PBEsol level.

## Properties
* formation energy from raw total energies: 1.277 eV/atom
* total energy: -6.27 eV/atom

Lattice parameters (Å, degrees): 3.743 3.743 3.743 60.00 60.00 60.00
Fractional positions:
Ni: 0.000 0.000 0.000
Pt: 0.500 0.500 0.500
N: 0.250 0.250 0.250
N: 0.750 0.750 0.750

---

Below is a relaxed CuTe2Br crystal, with properties calculated at the PBEsol level.

## Properties
* formation energy from raw total energies: -0.126 eV/atom
* total energy: -3.44 eV/atom

Lattice parameters (Å, degrees): 4.637 3.917 5.976 90.00 111.08 90.00
Fractional positions:
Cu: 0.000 0.000 0.000
Te: 0.366 0.500 0.173
Te: 0.634 0.500 0.827
Br: 0.000 0.000 0.500

---

Below is a relaxed ZnMoAs2Se crystal, with properties calculated at the PBEsol level.

## Properties
* formation energy from raw total energies: 1.120 eV/atom
* total energy: -4.36 eV/atom

Lattice parameters (Å, degrees): 4.643 4.643 4.824 90.00 90.00 90.00
Fractional positions:
Zn: 0.000 0.000 0.000
Mo: 0.500 0.500 0.500
As: 0.000 0.500 0.000
As: 0.500 0.000 0.000
Se: 0.000 0.000 0.500

---

Asked for theoretical density across the records above, the calculation gives 3070, 7098, 6748, 12622, 6536, 6230 kg/m³ in order.
Asked for calculated volume across the records above, the calculation gives 14.3, 37.9, 17.5, 9.3, 25.3, 20.8 A^3/atom in order.